No. 1
RbAgNO | GGA-PBE | relaxed

ρ = 4.70 g/cm³
crystal system = orthorhombic
SG = Pmc2_1, No. 26
DFT total energy = -3.73 eV/atom

Cell lengths 3.771, 6.491, 6.451 Å; angles 90.00, 90.00, 90.00 degrees
Positions (direct):
1 Rb 0.000 0.231 0.000
2 Rb 0.000 0.769 0.500
3 Ag 0.500 0.215 0.499
4 Ag 0.500 0.785 0.999
5 N 0.000 0.304 0.497
6 N 0.000 0.696 0.997
7 O 0.500 0.002 0.750
8 O 0.500 0.998 0.250



No. 2
Ho2CICl | GGA-PBE | relaxed

ρ = 6.54 g/cm³
crystal system = trigonal
SG = P3m1, No. 156
DFT total energy = -5.60 eV/atom

Cell lengths 3.773, 3.773, 10.382 Å; angles 90.00, 90.00, 120.00 degrees
Positions (direct):
1 Ho 0.000 0.000 0.000
2 Ho 0.333 0.667 0.746
3 C 0.667 0.333 0.873
4 I 0.000 0.000 0.535
5 Cl 0.333 0.667 0.165



No. 3
HoNpAs | GGA-PBE | relaxed

ρ = 9.96 g/cm³
crystal system = cubic
SG = F-43m, No. 216
DFT total energy = -7.63 eV/atom

Cell lengths 6.826, 6.826, 6.826 Å; angles 90.00, 90.00, 90.00 degrees
Positions (direct):
1 Ho 0.000 0.000 0.000
2 Ho 0.000 0.500 0.500
3 Ho 0.500 0.000 0.500
4 Ho 0.500 0.500 0.000
5 Np 0.000 0.000 0.500
6 Np 0.000 0.500 0.000
7 Np 0.500 0.000 0.000
8 Np 0.500 0.500 0.500
9 As 0.250 0.250 0.250
10 As 0.250 0.750 0.750
11 As 0.750 0.250 0.750
12 As 0.750 0.750 0.250



No. 4
BaNbAs | GGA-PBE | relaxed

ρ = 5.84 g/cm³
crystal system = cubic
SG = F-43m, No. 216
DFT total energy = -5.19 eV/atom

Cell lengths 7.029, 7.029, 7.029 Å; angles 90.00, 90.00, 90.00 degrees
Positions (direct):
1 Ba 0.000 0.000 0.000
2 Ba 0.000 0.500 0.500
3 Ba 0.500 0.000 0.500
4 Ba 0.500 0.500 0.000
5 Nb 0.000 0.000 0.500
6 Nb 0.000 0.500 0.000
7 Nb 0.500 0.000 0.000
8 Nb 0.500 0.500 0.500
9 As 0.250 0.250 0.250
10 As 0.250 0.750 0.750
11 As 0.750 0.250 0.750
12 As 0.750 0.750 0.250



No. 5
LuTlAgS3 | GGA-PBE | relaxed

ρ = 6.87 g/cm³
crystal system = orthorhombic
SG = Cmcm, No. 63
DFT total energy = -4.59 eV/atom

Cell lengths 6.990, 6.990, 10.582 Å; angles 90.00, 90.00, 146.96 degrees
Positions (direct):
1 Lu 0.000 0.000 0.000
2 Lu 0.000 0.000 0.500
3 Tl 0.285 0.715 0.750
4 Tl 0.715 0.285 0.250
5 Ag 0.405 0.595 0.250
6 Ag 0.595 0.405 0.750
7 S 0.041 0.959 0.250
8 S 0.367 0.633 0.026
9 S 0.367 0.633 0.474
10 S 0.633 0.367 0.526
11 S 0.633 0.367 0.974
12 S 0.959 0.041 0.750



No. 6
KPrMgS3 | GGA-PBE | relaxed

ρ = 2.96 g/cm³
crystal system = orthorhombic
SG = Cmcm, No. 63
DFT total energy = -4.93 eV/atom

Cell lengths 7.423, 7.423, 11.261 Å; angles 90.00, 90.00, 147.09 degrees
Positions (direct):
1 K 0.246 0.754 0.750
2 K 0.754 0.246 0.250
3 Pr 0.500 0.500 0.000
4 Pr 0.500 0.500 0.500
5 Mg 0.033 0.967 0.250
6 Mg 0.967 0.033 0.750
7 S 0.124 0.876 0.070
8 S 0.124 0.876 0.430
9 S 0.438 0.562 0.250
10 S 0.562 0.438 0.750
11 S 0.876 0.124 0.570
12 S 0.876 0.124 0.930



No. 7
PrNdGa2Au2 | GGA-PBE | relaxed

ρ = 9.85 g/cm³
crystal system = hexagonal
SG = P-6m2, No. 187
DFT total energy = -4.47 eV/atom

Cell lengths 4.612, 4.612, 7.493 Å; angles 90.00, 90.00, 120.00 degrees
Positions (direct):
1 Pr 0.000 0.000 0.000
2 Nd 0.000 0.000 0.500
3 Ga 0.333 0.667 0.279
4 Ga 0.333 0.667 0.721
5 Au 0.667 0.333 0.242
6 Au 0.667 0.333 0.758



No. 8
ErH2O2F | GGA-PBE | relaxed

ρ = 6.56 g/cm³
crystal system = monoclinic
SG = P2_1/m, No. 11
DFT total energy = -6.28 eV/atom

Cell lengths 5.784, 3.356, 6.063 Å; angles 90.00, 108.49, 90.00 degrees
Positions (direct):
1 Er 0.140 0.250 0.290
2 Er 0.860 0.750 0.710
3 H 0.267 0.250 0.862
4 H 0.350 0.750 0.677
5 H 0.650 0.250 0.323
6 H 0.733 0.750 0.138
7 O 0.118 0.250 0.904
8 O 0.186 0.750 0.566
9 O 0.814 0.250 0.434
10 O 0.882 0.750 0.096
11 F 0.410 0.750 0.259
12 F 0.590 0.250 0.741



> What is the formula in the eighth record?

ErH2O2F



> Among the records above, which one has the highest ρ?

HoNpAs